#a
FeIrPt4 after structural relaxation, computed with PBE-GGA.

Cell: 7.3393 7.3393 7.3393 Å, 90.00 90.00 90.00°
With the nearest neighbours (Å) after each atom.
Space group F-43m (No. 216)
Symmetry-distinct sites (fractional):
Fe  0.0000  0.0000  0.0000 x4  12 Pt 3.04, 4 Ir 3.18
Ir  0.2500  0.2500  0.7500 x4  12 Pt 3.04, 4 Fe 3.18
Pt  0.1248  0.1248  0.3752 x16  6 Pt 2.59-2.60

---

#b
FeIrPt4 after structural relaxation, computed with PBE-GGA.

Cell: 14.4002 2.7678 4.8110 Å, 90.00 109.48 90.00°
With the nearest neighbours (Å) after each atom.
Space group C2/m (No. 12)
Symmetry-distinct sites (fractional):
Fe  0.0000  0.0000  0.0000 x2  6 Pt 2.69-2.74, 2 Fe 2.77, 4 Ir 2.78
Ir  0.0000  0.5000  0.5000 x2  6 Pt 2.71-2.73, 2 Ir 2.77, 4 Fe 2.78
Pt  0.1597  0.5000  0.3209 x4  2 Fe 2.69, 1 Ir 2.71, 9 Pt 2.76-2.94
Pt  0.1632  0.0000  0.8269 x4  2 Ir 2.73, 1 Fe 2.74, 9 Pt 2.76-2.87

---

#b (0.477 eV/atom below the next structure)

---

#a
Fe2Ir2Pt after structural relaxation, computed with PBE-GGA.

Cell: 12.1940 4.3142 2.7098 Å, 90.00 102.65 90.00°
With the nearest neighbours (Å) after each atom.
Space group C2/m (No. 12)
Symmetry-distinct sites (fractional):
Fe  0.0983  0.0000  0.1016 x4  1 Fe 2.34, 2 Ir 2.55
Ir  0.2122  0.5000  0.2124 x4  4 Fe 2.55-2.63, 6 Ir 2.70-2.71
Pt  0.0000  0.5000  0.5000 x2  2 Pt 2.71, 8 Fe 2.80-2.81, 4 Ir 2.86-2.87

---

#b
Fe2Ir2Pt after structural relaxation, computed with PBE-GGA.

Cell: 7.1645 7.1645 2.7253 Å, 90.00 90.00 90.00°
With the nearest neighbours (Å) after each atom.
Space group P4/mbm (No. 127)
Symmetry-distinct sites (fractional):
Fe  0.1231  0.3769  0.0000 x4  3 Fe 2.50-2.73, 6 Ir 2.50-2.53
Ir  0.1704  0.6704  0.5000 x4  6 Fe 2.50-2.53, 2 Ir 2.73
Pt  0.0000  0.0000  0.0000 x2  2 Pt 2.73, 4 Fe 2.84, 8 Ir 2.99

---

#c
Fe2Ir2Pt after structural relaxation, computed with PBE-GGA.

Cell: 7.1633 7.1633 2.6748 Å, 90.00 90.00 90.00°
With the nearest neighbours (Å) after each atom.
Space group P4/mbm (No. 127)
Symmetry-distinct sites (fractional):
Fe  0.1661  0.3339  0.0000 x4  6 Ir 2.46-2.52, 2 Fe 2.67
Ir  0.1295  0.6295  0.5000 x4  6 Fe 2.46-2.52, 3 Ir 2.62-2.67
Pt  0.0000  0.0000  0.5000 x2  2 Pt 2.67, 4 Ir 2.81, 8 Fe 2.99

---

#a (0.146 eV/atom below the next structure)

---

#a
PuUFeIr after structural relaxation, computed with PBE-GGA.

Cell: 6.4865 6.4865 6.4865 Å, 90.00 90.00 90.00°
With the nearest neighbours (Å) after each atom.
Space group F-43m (No. 216)
Symmetry-distinct sites (fractional):
Pu  0.0000  0.0000  0.0000 x4  4 Fe 2.81, 4 U 2.81
U  0.2500  0.2500  0.7500 x4  4 Ir 2.81, 4 Pu 2.81
Fe  0.2500  0.2500  0.2500 x4  4 Ir 2.81, 4 Pu 2.81
Ir  0.0000  0.0000  0.5000 x4  4 U 2.81, 4 Fe 2.81

---

#b
PuUFeIr after structural relaxation, computed with PBE-GGA.

Cell: 6.7536 6.7536 6.7536 Å, 90.00 90.00 90.00°
With the nearest neighbours (Å) after each atom.
Space group F-43m (No. 216)
Symmetry-distinct sites (fractional):
Pu  0.0000  0.0000  0.0000 x4  4 Ir 2.92, 4 Fe 2.92
U  0.0000  0.0000  0.5000 x4  4 Fe 2.92, 4 Ir 2.92
Fe  0.2500  0.2500  0.7500 x4  4 U 2.92, 4 Pu 2.92
Ir  0.2500  0.2500  0.2500 x4  4 U 2.92, 4 Pu 2.92

---

#a (0.237 eV/atom below the next structure)